Entry 1:
# TbPr2Ge | Alexandria via LeMat-Bulk | PBE | optimized geometry
# size of the total moment	0.64	μB per formula unit
# formation enthalpy at 0 K	0.01	eV per atom
# symmetry	No. 166
# Fermi-level density of states	1.666	states/eV per atom
data_TbPr2Ge
_space_group_name_H-M_alt 'P 1'
_space_group_IT_number 1
_cell_length_a 11.3066
_cell_length_b 11.3066
_cell_length_c 11.3066
_cell_angle_alpha 19.03
_cell_angle_beta 19.03
_cell_angle_gamma 19.03
loop_
_space_group_symop_operation_xyz
'x,y,z'
loop_
_atom_site_label
_atom_site_type_symbol
_atom_site_fract_x
_atom_site_fract_y
_atom_site_fract_z
Tb1 Tb 0.0000 0.0000 0.0000
Pr1 Pr 0.1050 0.1050 0.1050
Pr2 Pr 0.8950 0.8950 0.8950
Ge1 Ge 0.5000 0.5000 0.5000



Entry 2:
# BaRe2Ag | Alexandria via LeMat-Bulk | PBE | optimized geometry
# size of the total moment	0.00	μB per formula unit
# formation enthalpy at 0 K	1.32	eV per atom
# symmetry	No. 65
# Fermi-level density of states	0.944	states/eV per atom
data_BaRe2Ag
_space_group_name_H-M_alt 'P 1'
_space_group_IT_number 1
_cell_length_a 2.8278
_cell_length_b 2.8278
_cell_length_c 10.0025
_cell_angle_alpha 90.00
_cell_angle_beta 90.00
_cell_angle_gamma 90.27
loop_
_space_group_symop_operation_xyz
'x,y,z'
loop_
_atom_site_label
_atom_site_type_symbol
_atom_site_fract_x
_atom_site_fract_y
_atom_site_fract_z
Ba1 Ba 0.0000 0.0000 0.0000
Re1 Re 0.5000 0.5000 0.2884
Re2 Re 0.5000 0.5000 0.7116
Ag1 Ag 0.0000 0.0000 0.5000



Entry 3:
# BeAlH3 | Alexandria via LeMat-Bulk | PBE | optimized geometry
# size of the total moment	0.00	μB per formula unit
# VASP energy	-16.5	eV/cell
# symmetry	No. 8
# Fermi-level density of states	0.011	states/eV per atom
data_BeAlH3
_space_group_name_H-M_alt 'P 1'
_space_group_IT_number 1
_cell_length_a 4.0044
_cell_length_b 4.0044
_cell_length_c 2.5234
_cell_angle_alpha 94.81
_cell_angle_beta 94.81
_cell_angle_gamma 93.69
loop_
_space_group_symop_operation_xyz
'x,y,z'
loop_
_atom_site_label
_atom_site_type_symbol
_atom_site_fract_x
_atom_site_fract_y
_atom_site_fract_z
Be1 Be 0.0000 0.0000 0.0000
Al1 Al 0.4275 0.4275 0.6463
H1 H 0.2016 0.8316 0.5669
H2 H 0.7273 0.7273 0.9923
H3 H 0.8316 0.2016 0.5669



Entry 4:
# TbDyIn2 | Alexandria via LeMat-Bulk | PBE | optimized geometry
# size of the total moment	0.00	μB per formula unit
# formation enthalpy at 0 K	-0.47	eV per atom
# symmetry	No. 225
# Fermi-level density of states	0.422	states/eV per atom
data_TbDyIn2
_space_group_name_H-M_alt 'P 1'
_space_group_IT_number 1
_cell_length_a 5.3240
_cell_length_b 5.3240
_cell_length_c 5.3240
_cell_angle_alpha 60.00
_cell_angle_beta 60.00
_cell_angle_gamma 60.00
loop_
_space_group_symop_operation_xyz
'x,y,z'
loop_
_atom_site_label
_atom_site_type_symbol
_atom_site_fract_x
_atom_site_fract_y
_atom_site_fract_z
Tb1 Tb 0.0000 0.0000 0.0000
Dy1 Dy 0.5000 0.5000 0.5000
In1 In 0.2500 0.2500 0.2500
In2 In 0.7500 0.7500 0.7500



Entry 5:
# VGaPd6 | Alexandria via LeMat-Bulk | PBE | optimized geometry
# size of the total moment	0.63	μB per formula unit
# formation enthalpy at 0 K	-0.37	eV per atom
# symmetry	No. 123
# Fermi-level density of states	0.662	states/eV per atom
data_VGaPd6
_space_group_name_H-M_alt 'P 1'
_space_group_IT_number 1
_cell_length_a 3.9067
_cell_length_b 3.9067
_cell_length_c 7.8127
_cell_angle_alpha 90.00
_cell_angle_beta 90.00
_cell_angle_gamma 90.00
loop_
_space_group_symop_operation_xyz
'x,y,z'
loop_
_atom_site_label
_atom_site_type_symbol
_atom_site_fract_x
_atom_site_fract_y
_atom_site_fract_z
V1 V 0.0000 0.0000 0.0000
Ga1 Ga 0.0000 0.0000 0.5000
Pd1 Pd 0.0000 0.5000 0.2442
Pd2 Pd 0.0000 0.5000 0.7558
Pd3 Pd 0.5000 0.0000 0.2442
Pd4 Pd 0.5000 0.0000 0.7558
Pd5 Pd 0.5000 0.5000 0.0000
Pd6 Pd 0.5000 0.5000 0.5000



Entry 6:
# VGaAg2Pb | Alexandria via LeMat-Bulk | PBE | optimized geometry
# size of the total moment	2.79	μB per formula unit
# formation enthalpy at 0 K	0.75	eV per atom
# symmetry	No. 123
# Fermi-level density of states	0.983	states/eV per atom
data_VGaAg2Pb
_space_group_name_H-M_alt 'P 1'
_space_group_IT_number 1
_cell_length_a 5.0755
_cell_length_b 5.0755
_cell_length_c 4.8718
_cell_angle_alpha 90.00
_cell_angle_beta 90.00
_cell_angle_gamma 90.00
loop_
_space_group_symop_operation_xyz
'x,y,z'
loop_
_atom_site_label
_atom_site_type_symbol
_atom_site_fract_x
_atom_site_fract_y
_atom_site_fract_z
V1 V 0.0000 0.0000 0.0000
Ga1 Ga 0.0000 0.0000 0.5000
Ag1 Ag 0.0000 0.5000 0.0000
Ag2 Ag 0.5000 0.0000 0.0000
Pb1 Pb 0.5000 0.5000 0.5000